Entry 1:
{
  "formula": "SnP2WCl",
  "functional": "GGA-PBE",
  "state": "optimized geometry",
  "sg": "P4/mmm, No. 123",
  "total_magnetization_mub_per_fu": 0.00,
  "e_tot_ev_per_fu": -21.96,
  "dos_ef_per_ev_cell": 5.11,
  "e_form_raw_mev_per_atom": 1533,
  "cell": [[4.837, 0.000, 0.000], [0.000, 4.837, 0.000], [0.000, 0.000, 4.395]],
  "species": ["Sn", "P", "P", "W", "Cl"],
  "fractional_positions": [[0.000, 0.000, 0.000], [0.000, 0.500, 0.500], [0.500, 0.000, 0.500], [0.500, 0.500, 0.000], [0.500, 0.500, 0.500]]
}

=====

Entry 2:
{
  "formula": "YSnP2Cl",
  "functional": "GGA-PBE",
  "state": "optimized geometry",
  "sg": "P4/mmm, No. 123",
  "total_magnetization_mub_per_fu": 0.00,
  "e_tot_ev_per_fu": -23.37,
  "dos_ef_per_ev_cell": 1.12,
  "e_form_raw_mev_per_atom": -46,
  "cell": [[5.040, 0.000, 0.000], [0.000, 5.040, 0.000], [0.000, 0.000, 4.994]],
  "species": ["Y", "Sn", "P", "P", "Cl"],
  "fractional_positions": [[0.000, 0.000, 0.000], [0.500, 0.500, 0.500], [0.000, 0.500, 0.500], [0.500, 0.000, 0.500], [0.500, 0.500, 0.000]]
}

=====

Entry 3:
{
  "formula": "YSnPCl2",
  "functional": "GGA-PBE",
  "state": "optimized geometry",
  "sg": "P4/mmm, No. 123",
  "total_magnetization_mub_per_fu": 0.00,
  "e_tot_ev_per_fu": -23.68,
  "dos_ef_per_ev_cell": 0.78,
  "e_form_raw_mev_per_atom": -822,
  "cell": [[5.116, 0.000, 0.000], [0.000, 5.116, 0.000], [0.000, 0.000, 5.648]],
  "species": ["Y", "Sn", "P", "Cl", "Cl"],
  "fractional_positions": [[0.000, 0.000, 0.000], [0.500, 0.500, 0.500], [0.000, 0.000, 0.500], [0.000, 0.500, 0.000], [0.500, 0.000, 0.000]]
}

=====

Entry 4:
{
  "formula": "YSnP2Cl",
  "functional": "GGA-PBE",
  "state": "optimized geometry",
  "sg": "P4/mmm, No. 123",
  "total_magnetization_mub_per_fu": 0.00,
  "e_tot_ev_per_fu": -23.80,
  "dos_ef_per_ev_cell": 4.62,
  "e_form_raw_mev_per_atom": -134,
  "cell": [[5.327, 0.000, 0.000], [0.000, 5.327, 0.000], [0.000, 0.000, 5.122]],
  "species": ["Y", "Sn", "P", "P", "Cl"],
  "fractional_positions": [[0.000, 0.000, 0.000], [0.500, 0.500, 0.500], [0.000, 0.500, 0.000], [0.500, 0.000, 0.000], [0.000, 0.000, 0.500]]
}

=====

Entry 5:
{
  "formula": "YSnPCl2",
  "functional": "GGA-PBE",
  "state": "optimized geometry",
  "sg": "P4/mmm, No. 123",
  "total_magnetization_mub_per_fu": 0.48,
  "e_tot_ev_per_fu": -20.97,
  "dos_ef_per_ev_cell": 2.65,
  "e_form_raw_mev_per_atom": -281,
  "cell": [[5.124, 0.000, 0.000], [0.000, 5.124, 0.000], [0.000, 0.000, 5.351]],
  "species": ["Y", "Sn", "P", "Cl", "Cl"],
  "fractional_positions": [[0.000, 0.000, 0.000], [0.500, 0.500, 0.500], [0.500, 0.500, 0.000], [0.000, 0.500, 0.500], [0.500, 0.000, 0.500]]
}

=====

Entry 6:
{
  "formula": "ZnSnPCl2",
  "functional": "GGA-PBE",
  "state": "optimized geometry",
  "sg": "P4/mmm, No. 123",
  "total_magnetization_mub_per_fu": 0.16,
  "e_tot_ev_per_fu": -13.77,
  "dos_ef_per_ev_cell": 3.54,
  "e_form_raw_mev_per_atom": 122,
  "cell": [[5.165, 0.000, 0.000], [0.000, 5.165, 0.000], [0.000, 0.000, 5.289]],
  "species": ["Zn", "Sn", "P", "Cl", "Cl"],
  "fractional_positions": [[0.000, 0.000, 0.000], [0.500, 0.500, 0.500], [0.500, 0.500, 0.000], [0.000, 0.500, 0.500], [0.500, 0.000, 0.500]]
}

=====

Entry 7:
{
  "formula": "ZnSnPCl2",
  "functional": "GGA-PBE",
  "state": "optimized geometry",
  "sg": "P4/mmm, No. 123",
  "total_magnetization_mub_per_fu": 0.00,
  "e_tot_ev_per_fu": -14.92,
  "dos_ef_per_ev_cell": 2.52,
  "e_form_raw_mev_per_atom": -109,
  "cell": [[4.722, 0.000, 0.000], [0.000, 4.722, 0.000], [0.000, 0.000, 5.103]],
  "species": ["Zn", "Sn", "P", "Cl", "Cl"],
  "fractional_positions": [[0.000, 0.000, 0.000], [0.500, 0.500, 0.500], [0.000, 0.000, 0.500], [0.000, 0.500, 0.000], [0.500, 0.000, 0.000]]
}

=====

Entry 8:
{
  "formula": "SrP2Cl",
  "functional": "GGA-PBE",
  "state": "optimized geometry",
  "sg": "R-3m, No. 166",
  "total_magnetization_mub_per_fu": 0.00,
  "e_tot_ev_per_fu": -12.06,
  "dos_ef_per_ev_cell": 4.31,
  "e_form_raw_mev_per_atom": 571,
  "cell": [[1.787, 1.032, 8.595], [-1.787, 1.032, 8.595], [0.000, -2.063, 8.595]],
  "species": ["Sr", "P", "P", "Cl"],
  "fractional_positions": [[0.000, 0.000, 0.000], [0.243, 0.243, 0.243], [0.757, 0.757, 0.757], [0.500, 0.500, 0.500]]
}

=====

Entry 9:
{
  "formula": "Sr4P2Cl5",
  "functional": "GGA-PBE",
  "state": "optimized geometry",
  "sg": "C2/m, No. 12",
  "total_magnetization_mub_per_fu": 0.30,
  "e_tot_ev_per_fu": -47.69,
  "dos_ef_per_ev_cell": 4.66,
  "e_form_raw_mev_per_atom": -1901,
  "cell": [[11.698, -2.111, 0.000], [11.698, 2.111, 0.000], [-0.568, 0.000, 8.414]],
  "species": ["Sr", "Sr", "Sr", "Sr", "P", "P", "Cl", "Cl", "Cl", "Cl", "Cl"],
  "fractional_positions": [[0.011, 0.011, 0.261], [0.331, 0.331, 0.577], [0.669, 0.669, 0.423], [0.989, 0.989, 0.739], [0.455, 0.455, 0.467], [0.545, 0.545, 0.533], [0.132, 0.132, 0.203], [0.209, 0.209, 0.640], [0.500, 0.500, 0.000], [0.791, 0.791, 0.360], [0.868, 0.868, 0.797]]
}

=====

Entry 10:
{
  "formula": "SrPCl",
  "functional": "GGA-PBE",
  "state": "optimized geometry",
  "sg": "Amm2, No. 38",
  "total_magnetization_mub_per_fu": 0.00,
  "e_tot_ev_per_fu": -13.36,
  "dos_ef_per_ev_cell": 0.40,
  "e_form_raw_mev_per_atom": -1475,
  "cell": [[4.158, 0.000, 0.000], [0.000, 2.049, 9.768], [0.000, -2.049, 9.768]],
  "species": ["Sr", "Sr", "P", "P", "Cl", "Cl"],
  "fractional_positions": [[0.000, 0.000, 0.000], [0.000, 0.243, 0.243], [0.000, 0.621, 0.621], [0.500, 0.572, 0.572], [0.000, 0.395, 0.395], [0.500, 0.775, 0.775]]
}

=====

Entry 11:
{
  "formula": "SrPCl",
  "functional": "GGA-PBE",
  "state": "optimized geometry",
  "sg": "I4mm, No. 107",
  "total_magnetization_mub_per_fu": 0.00,
  "e_tot_ev_per_fu": -11.27,
  "dos_ef_per_ev_cell": 1.22,
  "e_form_raw_mev_per_atom": -778,
  "cell": [[-1.741, 1.741, 7.521], [1.741, -1.741, 7.521], [1.741, 1.741, -7.521]],
  "species": ["Sr", "P", "Cl"],
  "fractional_positions": [[0.000, 0.000, 0.000], [0.645, 0.645, 0.000], [0.395, 0.395, 0.000]]
}

=====

Entry 12:
{
  "formula": "SrP2Cl",
  "functional": "GGA-PBE",
  "state": "optimized geometry",
  "sg": "P2/m, No. 10",
  "total_magnetization_mub_per_fu": 0.00,
  "e_tot_ev_per_fu": -18.04,
  "dos_ef_per_ev_cell": 1.15,
  "e_form_raw_mev_per_atom": -922,
  "cell": [[3.584, 0.000, 0.000], [0.000, 6.073, 0.000], [-0.164, 0.000, 4.663]],
  "species": ["Sr", "P", "P", "Cl"],
  "fractional_positions": [[0.000, 0.000, 0.000], [0.242, 0.500, 0.853], [0.758, 0.500, 0.147], [0.500, 0.000, 0.500]]
}